[1]
The following is a DFT calculation (PBE) of crystalline CrIn2Ir2 at its relaxed geometry.

Properties
- Energy of formation: 188.5 meV per atom
- Symmetry: No. 127
- M_tot: 0.000 μB per formula unit
- Calculated density: 12.5 Mg/m³

Cell: 6.4821 6.4821 4.2183 Å, 90.00 90.00 90.00°
Positions (direct):
Cr (0.0000, 0.0000, 0.0000)
Cr (0.5000, 0.5000, 0.0000)
In (0.1706, 0.3294, 0.5000)
In (0.3294, 0.8294, 0.5000)
In (0.6706, 0.1706, 0.5000)
In (0.8294, 0.6706, 0.5000)
Ir (0.1408, 0.6408, 0.0000)
Ir (0.3592, 0.1408, 0.0000)
Ir (0.6408, 0.8592, 0.0000)
Ir (0.8592, 0.3592, 0.0000)

[2]
The following is a DFT calculation (PBE) of crystalline Cr2InIr at its relaxed geometry.

Properties
- Energy of formation: 663.8 meV per atom
- Symmetry: No. 122
- M_tot: 5.071 μB per formula unit
- Calculated density: 9.7 Mg/m³

Cell: 5.7804 5.7804 5.7804 Å, 102.63 102.63 124.24°
Positions (direct):
Cr (0.0776, 0.6250, 0.9526)
Cr (0.3750, 0.3276, 0.4526)
Cr (0.6724, 0.1250, 0.0474)
Cr (0.8750, 0.9224, 0.5474)
In (0.2500, 0.7500, 0.5000)
In (0.5000, 0.5000, 0.0000)
Ir (0.0000, 0.0000, 0.0000)
Ir (0.7500, 0.2500, 0.5000)

[3]
The following is a DFT calculation (PBE) of crystalline Cr2InIr at its relaxed geometry.

Properties
- Energy of formation: 167.5 meV per atom
- Symmetry: No. 8
- M_tot: 0.185 μB per formula unit
- Calculated density: 11.2 Mg/m³

Cell: 4.8497 4.8497 4.7143 Å, 107.15 107.15 35.31°
Positions (direct):
Cr (0.0000, 0.0000, 0.0000)
Cr (0.7135, 0.7135, 0.2028)
In (0.4853, 0.4853, 0.4887)
Ir (0.2534, 0.2534, 0.7619)